# Nd2Y8Mg (PBE-GGA, relaxed)
# ΔH_f (0 K) (eV/atom): 0.029
# Relative energy among the computed polymorphs (meV/atom): 0
# DFT total energy (eV/atom): -5.6836
data_Nd2Y8Mg
_cell_length_a 19.513
_cell_length_b 5.609
_cell_length_c 6.537
_cell_angle_alpha 90.00
_cell_angle_beta 94.29
_cell_angle_gamma 90.00
_space_group_name_H-M_alt 'C 1 2/m 1'
_space_group_IT_number 12
loop_
_space_group_symop_operation_xyz
'x,y,z'
'-x,-y,-z'
'-x,y,-z'
'x,-y,z'
'x+1/2,y+1/2,z'
'-x+1/2,-y+1/2,-z'
'-x+1/2,y+1/2,-z'
'x+1/2,-y+1/2,z'
loop_
_atom_site_label
_atom_site_fract_x
_atom_site_fract_y
_atom_site_fract_z
Nd1 0.242 0.000 0.335
Y1 0.044 0.000 0.260
Y2 0.078 0.500 0.598
Y3 0.152 0.000 0.814
Y4 0.160 0.500 0.125
Mg1 0.000 0.500 0.000